Record 1
Compound: SrEuHg
Source: Alexandria
Functional: PBE
Structure: relaxed

Geometry as extended XYZ:
```
3
Lattice="-3.657 1.404 3.909 -3.100 -3.895 2.416 0.919 -1.389 5.277" Properties=species:S:1:pos:R:3 pbc="T T T"
Eu 0.000 0.000 0.000
Sr -2.919 -1.940 5.801
Hg -1.460 -0.970 2.901
```

Values from the calculation:
* E above lowest polymorph: 112 meV/atom
* crystal system: cubic
* N(E_F): 3.28 states/eV per cell
* space group: F-43m, No. 216

Record 2
Compound: In2CoPt
Source: Alexandria
Functional: PBE
Structure: relaxed

Geometry as extended XYZ:
```
8
Lattice="-4.258 4.570 3.573 2.509 -2.546 6.246 1.225 2.996 4.874" Properties=species:S:1:pos:R:3 pbc="T T T"
In -1.983 3.224 4.184
In 0.298 2.971 7.424
In 1.284 -0.208 5.618
In -0.645 4.053 12.162
Pt -1.953 4.289 6.679
Pt 0.000 0.000 0.000
Co -0.874 1.012 4.909
Co 1.430 0.731 8.015
```

Values from the calculation:
* E above lowest polymorph: 341 meV/atom
* crystal system: tetragonal
* N(E_F): 6.04 states/eV per cell
* space group: I-42d, No. 122

Record 3
Compound: La6Pr5Dy2
Source: Alexandria
Functional: PBE
Structure: relaxed

Geometry as extended XYZ:
```
26
Lattice="3.705 0.000 0.000 0.000 11.862 0.000 0.000 0.000 21.521" Properties=species:S:1:pos:R:3 pbc="T T T"
Pr 1.853 11.209 1.643
Pr 1.853 5.277 9.118
Pr 1.853 5.931 0.000
Pr 1.853 7.759 5.997
Pr 1.853 4.104 15.524
Pr 1.853 1.828 4.764
Pr 1.853 0.000 10.761
Pr 1.853 6.585 12.403
Pr 1.853 0.654 19.879
Pr 1.853 10.035 16.758
La 0.000 7.955 2.548
La 0.000 2.572 1.139
La 0.000 8.503 9.622
La 1.853 6.883 18.296
La 0.000 9.290 20.382
La 0.000 3.359 11.900
La 1.853 10.911 7.535
La 0.000 3.908 18.974
La 0.000 9.839 13.308
La 1.853 4.980 3.226
La 1.853 0.952 13.986
La 0.000 2.023 8.213
Dy 0.000 10.611 4.595
Dy 0.000 1.252 16.927
Dy 0.000 4.679 6.166
Dy 0.000 7.183 15.355
```

Values from the calculation:
* crystal system: orthorhombic
* calculated total energy: -0.3497 Ry per atom
* N(E_F): 37.02 states/eV per cell
* space group: Pbam, No. 55

Record 4
Compound: LaYGe
Source: Alexandria
Functional: PBE
Structure: relaxed

Geometry as extended XYZ:
```
12
Lattice="-1.577 3.421 -5.525 -3.973 0.759 1.603 4.022 9.892 5.285" Properties=species:S:1:pos:R:3 pbc="T T T"
Y 2.691 11.370 1.288
Y -0.476 10.403 -0.198
Y -1.306 6.803 -0.553
Y -0.500 5.077 -3.642
Ge 0.617 4.517 -0.607
Ge 0.812 8.440 -1.981
Ge -3.185 3.873 -3.822
Ge 0.642 9.843 2.837
La -2.064 2.971 -0.617
La 1.933 7.538 1.224
La 3.503 9.636 4.120
La -0.495 5.069 2.279
```

Values from the calculation:
* E above lowest polymorph: 36 meV/atom
* crystal system: monoclinic
* N(E_F): 8.65 states/eV per cell
* space group: Cm, No. 8

Record 5
Compound: LaYTi2
Source: Alexandria
Functional: PBE
Structure: relaxed

Geometry as extended XYZ:
```
8
Lattice="8.112 0.000 0.000 0.000 8.112 0.000 4.056 4.056 3.133" Properties=species:S:1:pos:R:3 pbc="T T T"
La 8.112 4.056 1.566
La 0.000 0.000 0.000
Ti 1.996 6.084 0.783
Ti 10.140 10.173 2.350
Ti 6.117 2.028 0.783
Ti 6.084 6.052 2.350
Y 4.056 8.112 1.566
Y 4.056 4.056 0.000
```

Values from the calculation:
* E above lowest polymorph: 336 meV/atom
* crystal system: tetragonal
* N(E_F): 11.17 states/eV per cell
* space group: I-42d, No. 122

Record 6
Compound: Tb2Dy6Er5
Source: Alexandria
Functional: PBE
Structure: relaxed

Geometry as extended XYZ:
```
26
Lattice="-1.728 -3.098 -0.205 4.781 -1.984 -10.324 15.399 -9.177 8.894" Properties=species:S:1:pos:R:3 pbc="T T T"
Er 3.751 -3.606 -7.925
Er 7.494 -6.269 0.779
Er 15.401 -10.457 -2.590
Er 3.050 -3.802 0.955
Er 6.191 -5.241 -3.774
Er 10.958 -7.990 -2.413
Er 14.701 -10.653 6.291
Er 6.836 -6.137 4.345
Er 12.261 -9.018 2.139
Er 1.526 -2.541 -5.264
Dy 15.357 -8.791 3.414
Dy 4.822 -2.370 -4.843
Dy 2.745 -3.417 -2.294
Dy 11.044 -6.200 0.606
Dy 14.119 -7.621 -3.844
Dy 6.061 -3.540 2.415
Dy 15.707 -10.842 0.660
Dy 8.742 -6.558 -5.373
Dy 18.663 -10.308 -1.536
Dy 9.136 -4.961 -2.035
Dy 1.516 -0.853 0.107
Dy 9.710 -7.701 3.738
Tb 14.136 -7.849 -0.551
Tb 7.240 -3.593 -6.731
Tb 6.043 -3.313 -0.879
Tb 12.940 -7.568 5.301
```

Values from the calculation:
* crystal system: orthorhombic
* calculated total energy: -0.3302 Ry per atom
* N(E_F): 30.15 states/eV per cell
* space group: Pbam, No. 55

Record 7
Compound: Ba3Ac4Te8
Source: Alexandria
Functional: PBE
Structure: relaxed

Geometry as extended XYZ:
```
15
Lattice="-5.804 -0.195 7.663 4.217 -8.161 -3.011 8.652 4.261 0.664" Properties=species:S:1:pos:R:3 pbc="T T T"
Ba 3.532 -2.048 2.658
Ba 1.424 2.033 4.164
Ba -0.794 -4.178 2.326
Te 2.404 -5.208 1.724
Te 9.678 -2.952 -1.701
Te -2.613 -1.143 7.018
Te 4.660 1.112 3.593
Te 6.841 -3.078 2.149
Te 0.223 -1.017 3.168
Te 5.308 -5.105 -2.107
Te 7.561 1.205 -0.240
Ac 4.326 2.130 0.332
Ac 2.108 -4.081 -1.505
Ac 0.000 0.000 0.000
Ac -2.902 -0.097 3.832
```

Values from the calculation:
* crystal system: monoclinic
* calculated total energy: -0.3507 Ry per atom
* N(E_F): 5.06 states/eV per cell
* space group: C2/m, No. 12

Record 8
Compound: BeBAsIr2
Source: Alexandria
Functional: PBE
Structure: relaxed

Geometry as extended XYZ:
```
5
Lattice="4.648 0.000 0.000 0.000 3.782 0.000 0.000 0.000 4.648" Properties=species:S:1:pos:R:3 pbc="T T T"
Be 2.324 1.891 2.324
Ir 2.324 0.000 0.000
Ir 0.000 0.000 2.324
B 0.000 1.891 0.000
As 0.000 0.000 0.000
```

Values from the calculation:
* crystal system: tetragonal
* calculated total energy: -0.3704 Ry per atom
* N(E_F): 4.99 states/eV per cell
* space group: P4/mmm, No. 123

Record 9
Compound: Tm2OsRu
Source: Alexandria
Functional: PBE
Structure: relaxed

Geometry as extended XYZ:
```
4
Lattice="-1.614 3.856 2.259 -1.007 -0.211 4.639 4.518 -0.180 -1.461" Properties=species:S:1:pos:R:3 pbc="T T T"
Tm 0.000 0.000 0.000
Tm 0.948 1.732 2.718
Ru 2.733 0.776 0.629
Os -0.837 2.689 4.808
```

Values from the calculation:
* crystal system: cubic
* calculated total energy: -0.5619 Ry per atom
* N(E_F): 4.38 states/eV per cell
* space group: Fm-3m, No. 225

Record 10
Compound: PmYI6
Source: Alexandria
Functional: PBE
Structure: relaxed

Geometry as extended XYZ:
```
8
Lattice="-4.553 6.501 1.709 2.014 -1.686 -7.683 -6.291 -4.528 -0.452" Properties=species:S:1:pos:R:3 pbc="T T T"
Pm 0.000 0.000 0.000
I -7.758 1.979 -4.024
I -3.301 2.286 -4.301
I -5.814 -0.445 -6.805
I -3.017 0.732 0.379
I -1.072 -1.692 -2.402
I -5.529 -1.998 -2.125
Y -3.145 -2.264 -0.226
```

Values from the calculation:
* E above lowest polymorph: 0 meV/atom
* crystal system: monoclinic
* N(E_F): 0.00 states/eV per cell
* space group: C2/m, No. 12

Record 11
Compound: BaMnV3
Source: Alexandria
Functional: PBE
Structure: relaxed

Geometry as extended XYZ:
```
5
Lattice="4.773 0.000 0.000 0.000 4.773 0.000 0.000 0.000 4.773" Properties=species:S:1:pos:R:3 pbc="T T T"
Ba 0.000 0.000 0.000
Mn 2.387 2.387 2.387
V 0.000 0.000 2.387
V 2.387 0.000 0.000
V 0.000 2.387 0.000
```

Values from the calculation:
* E above lowest polymorph: 1652 meV/atom
* crystal system: cubic
* N(E_F): 5.55 states/eV per cell
* space group: Pm-3m, No. 221